Computed, not measured: AcDyY2As4 after structural relaxation at the GGA-PBE level of DFT.

The structure in extended XYZ format:
```
8
Lattice="7.337 0.000 0.000 0.000 4.238 0.000 -2.438 0.000 6.922" Properties=species:S:1:pos:R:3 pbc="T T T"
Ac 0.000 0.000 0.000
Dy -1.219 2.119 3.461
Y 2.450 0.000 3.461
Y 3.669 2.119 0.000
As 0.076 0.000 5.137
As 1.297 2.119 1.839
As 3.603 2.119 5.083
As 4.824 0.000 1.785
```

Output
Final energy (eV per atom): -6.5164
E_form (eV/f.u.): -11.89